No. 1
This record from the Alexandria database describes an optimized crystal structure of KGa2Pt. The functional is PBE.

Cell and atoms, written as POSCAR:
```
KGa2Pt
1.0
0.000 3.396 3.396
3.396 0.000 3.396
3.396 3.396 0.000
K Ga Pt
1 2 1
direct
0.000 0.000 0.000
0.250 0.250 0.250
0.750 0.750 0.750
0.500 0.500 0.500
```

Computed properties:
formation enthalpy at 0 K	-0.03	eV/atom
D(E_F)	1.95	states/eV/f.u.
space group	No. 225

No. 2
This record from the Alexandria database describes an optimized crystal structure of KRb2GaPt. The functional is PBE.

Cell and atoms, written as POSCAR:
```
KRb2GaPt
1.0
-2.263 4.595 -4.319
2.756 -3.407 -5.068
-4.152 -2.553 -0.541
K Ga Rb Pt
1 1 2 1
direct
0.500 0.500 0.500
0.000 0.000 0.500
0.000 0.500 0.000
0.500 0.000 0.000
0.000 0.000 0.000
```

Computed properties:
formation enthalpy at 0 K	-0.09	eV/atom
D(E_F)	2.01	states/eV/f.u.
space group	No. 123

No. 3
This record from the Alexandria database describes an optimized crystal structure of KRbGa2Pt. The functional is PBE.

Cell and atoms, written as POSCAR:
```
KRbGa2Pt
1.0
4.955 0.000 0.000
0.000 4.955 0.000
0.000 0.000 6.306
K Ga Rb Pt
1 2 1 1
direct
0.500 0.500 0.500
0.000 0.500 0.000
0.500 0.000 0.000
0.000 0.000 0.500
0.000 0.000 0.000
```

Computed properties:
formation enthalpy at 0 K	-0.15	eV/atom
D(E_F)	2.11	states/eV/f.u.
space group	No. 123
distance to the lowest polymorph of the same formula	53	meV/atom

No. 4
This record from the Alexandria database describes an optimized crystal structure of KRbGa2Pt. The functional is PBE.

Cell and atoms, written as POSCAR:
```
KRbGa2Pt
1.0
-1.990 -3.836 2.411
0.162 -2.692 -4.149
5.616 -1.972 1.498
K Ga Rb Pt
1 2 1 1
direct
0.000 0.000 0.500
0.000 0.500 0.000
0.500 0.000 0.000
0.500 0.500 0.500
0.000 0.000 0.000
```

Computed properties:
formation enthalpy at 0 K	-0.21	eV/atom
D(E_F)	2.03	states/eV/f.u.
space group	No. 123
distance to the lowest polymorph of the same formula	0	meV/atom

No. 5
This record from the Alexandria database describes an optimized crystal structure of KGa2PtRh. The functional is PBE.

Cell and atoms, written as POSCAR:
```
KGa2PtRh
1.0
4.777 0.000 0.000
0.000 5.771 0.000
0.000 0.000 4.777
K Rh Ga Pt
1 1 2 1
direct
0.000 0.500 0.000
0.500 0.500 0.500
0.000 0.000 0.500
0.500 0.000 0.000
0.000 0.000 0.000
```

Computed properties:
formation enthalpy at 0 K	0.46	eV/atom
D(E_F)	7.14	states/eV/f.u.
space group	No. 123

No. 6
This record from the Alexandria database describes an optimized crystal structure of KGaPtRh2. The functional is PBE.

Cell and atoms, written as POSCAR:
```
KGaPtRh2
1.0
4.742 0.000 0.000
0.000 5.078 0.000
0.000 0.000 4.742
K Rh Ga Pt
1 2 1 1
direct
0.000 0.000 0.000
0.000 0.000 0.500
0.500 0.000 0.000
0.500 0.500 0.500
0.000 0.500 0.000
```

Computed properties:
formation enthalpy at 0 K	1.98	eV/atom
D(E_F)	5.96	states/eV/f.u.
space group	No. 123

No. 7
This record from the Alexandria database describes an optimized crystal structure of KGaPt2S. The functional is PBE.

Cell and atoms, written as POSCAR:
```
KGaPt2S
1.0
4.615 0.000 0.000
0.000 5.397 0.000
0.000 0.000 4.615
S K Ga Pt
1 1 1 2
direct
0.000 0.000 0.000
0.500 0.500 0.500
0.000 0.500 0.000
0.000 0.000 0.500
0.500 0.000 0.000
```

Computed properties:
D(E_F)	1.41	states/eV/f.u.
space group	No. 123
ΔE_f (raw)	0.08	eV/atom

No. 8
This record from the Alexandria database describes an optimized crystal structure of KGaSiPt. The functional is PBE.

Cell and atoms, written as POSCAR:
```
KGaSiPt
1.0
-0.205 3.428 -2.504
-0.693 -3.876 -1.600
-5.732 -0.417 3.475
K Ga Si Pt
1 1 1 1
direct
0.410 0.069 0.478
0.020 0.876 0.896
0.483 0.605 0.088
0.779 0.255 0.034
```

Computed properties:
D(E_F)	2.41	states/eV/f.u.
space group	No. 8
ΔE_f (raw)	-0.38	eV/atom

No. 9
This record from the Alexandria database describes an optimized crystal structure of KGaSn2Pt. The functional is PBE.

Cell and atoms, written as POSCAR:
```
KGaSn2Pt
1.0
-0.819 -3.286 -4.271
-2.036 -3.281 2.915
-4.876 2.291 -0.827
K Ga Sn Pt
1 1 2 1
direct
0.500 0.500 0.500
0.000 0.000 0.000
0.000 0.000 0.500
0.500 0.000 0.000
0.000 0.500 0.000
```

Computed properties:
formation enthalpy at 0 K	0.11	eV/atom
D(E_F)	1.89	states/eV/f.u.
space group	No. 123

No. 10
This record from the Alexandria database describes an optimized crystal structure of KSrGa2Pt. The functional is PBE.

Cell and atoms, written as POSCAR:
```
KSrGa2Pt
1.0
5.016 0.000 0.000
0.000 5.016 0.000
0.000 0.000 5.756
Sr K Ga Pt
1 1 2 1
direct
0.000 0.000 0.500
0.500 0.500 0.500
0.000 0.500 0.000
0.500 0.000 0.000
0.000 0.000 0.000
```

Computed properties:
formation enthalpy at 0 K	-0.30	eV/atom
D(E_F)	2.80	states/eV/f.u.
space group	No. 123